## P
A geometry-optimized La2PmLu structure, computed with GGA-PBE.

Summary:
**Volume**: 34.80 Å³/atom
**DOS(E_F)**: 7.9 states/eV/cell

Lattice parameters (Å, degrees): 5.818 5.818 5.818 60.00 60.00 60.00
Atoms (fractional coordinates):
La: 0.250 0.250 0.250
La: 0.750 0.750 0.750
Pm: 0.000 0.000 0.000
Lu: 0.500 0.500 0.500

## Q
A geometry-optimized La2PmLu structure, computed with GGA-PBE.

Summary:
**Volume**: 34.44 Å³/atom
**DOS(E_F)**: 6.9 states/eV/cell

Lattice parameters (Å, degrees): 3.713 3.713 9.994 90.00 90.00 90.00
Atoms (fractional coordinates):
La: 0.000 0.000 0.243
La: 0.000 0.000 0.757
Pm: 0.500 0.500 0.500
Lu: 0.500 0.500 0.000

In terms of stability, Q leads; the second structure lies 6.7 kJ/mol of atoms higher.

## P
A geometry-optimized LaPrLu2 structure, computed with GGA-PBE.

Summary:
**Volume**: 33.26 Å³/atom
**DOS(E_F)**: 6.4 states/eV/cell

Lattice parameters (Å, degrees): 5.730 5.730 5.730 60.00 60.00 60.00
Atoms (fractional coordinates):
La: 0.000 0.000 0.000
Pr: 0.500 0.500 0.500
Lu: 0.250 0.250 0.250
Lu: 0.750 0.750 0.750

## Q
A geometry-optimized LaPrLu2 structure, computed with GGA-PBE.

Summary:
**Volume**: 32.86 Å³/atom
**DOS(E_F)**: 6.0 states/eV/cell

Lattice parameters (Å, degrees): 5.218 5.218 4.828 90.00 90.00 90.00
Atoms (fractional coordinates):
La: 0.000 0.000 0.000
Pr: 0.500 0.500 0.000
Lu: 0.000 0.500 0.500
Lu: 0.500 0.000 0.500

In terms of stability, Q leads; the second structure lies 3.8 kJ/mol of atoms higher.

## P
A geometry-optimized La2PrLu structure, computed with GGA-PBE.

Summary:
**Volume**: 34.51 Å³/atom
**DOS(E_F)**: 5.0 states/eV/cell

Lattice parameters (Å, degrees): 5.178 5.178 5.148 90.00 90.00 90.00
Atoms (fractional coordinates):
La: 0.000 0.500 0.000
La: 0.500 0.000 0.000
Pr: 0.000 0.000 0.500
Lu: 0.500 0.500 0.500

## Q
A geometry-optimized La2PrLu structure, computed with GGA-PBE.

Summary:
**Volume**: 34.87 Å³/atom
**DOS(E_F)**: 7.1 states/eV/cell

Lattice parameters (Å, degrees): 3.714 3.714 10.111 90.00 90.00 90.00
Atoms (fractional coordinates):
La: 0.000 0.000 0.241
La: 0.000 0.000 0.759
Pr: 0.500 0.500 0.500
Lu: 0.500 0.500 0.000

In terms of stability, P leads; the second structure lies 1.5 kJ/mol of atoms higher.

## P
A geometry-optimized LaLuPt structure, computed with GGA-PBE.

Summary:
**Volume**: 28.61 Å³/atom
**DOS(E_F)**: 2.1 states/eV/cell

Lattice parameters (Å, degrees): 4.951 4.951 4.951 60.00 60.00 60.00
Atoms (fractional coordinates):
La: 0.000 0.000 0.000
Lu: 0.500 0.500 0.500
Pt: 0.250 0.250 0.250

## Q
A geometry-optimized LaLuPt structure, computed with GGA-PBE.

Summary:
**Volume**: 27.90 Å³/atom
**DOS(E_F)**: 2.9 states/eV/cell

Lattice parameters (Å, degrees): 4.608 4.608 4.553 90.00 90.00 120.00
Atoms (fractional coordinates):
La: 0.000 0.000 0.000
Lu: 0.667 0.333 0.502
Pt: 0.333 0.667 0.354

In terms of stability, P leads; the second structure lies 8.6 kJ/mol of atoms higher.

## P
A geometry-optimized LaLuPu structure, computed with GGA-PBE.

Summary:
**Volume**: 30.94 Å³/atom
**DOS(E_F)**: 7.3 states/eV/cell

Lattice parameters (Å, degrees): 7.815 7.815 7.815 153.82 153.82 37.37
Atoms (fractional coordinates):
La: 0.000 0.000 0.000
Lu: 0.324 0.324 0.000
Pu: 0.667 0.667 0.000

## Q
A geometry-optimized LaLuPu structure, computed with GGA-PBE.

Summary:
**Volume**: 31.05 Å³/atom
**DOS(E_F)**: 8.5 states/eV/cell

Lattice parameters (Å, degrees): 3.546 3.546 8.553 90.00 90.00 120.00
Atoms (fractional coordinates):
La: 0.000 0.000 0.000
Lu: 0.333 0.667 0.654
Pu: 0.667 0.333 0.335

In terms of stability, P leads; the second structure lies 1.8 kJ/mol of atoms higher.

## P
A geometry-optimized LaLu2Ru structure, computed with GGA-PBE.

Summary:
**Volume**: 27.04 Å³/atom
**DOS(E_F)**: 6.2 states/eV/cell

Lattice parameters (Å, degrees): 10.053 10.053 10.053 20.41 20.41 20.41
Atoms (fractional coordinates):
La: 0.000 0.000 0.000
Lu: 0.228 0.228 0.228
Lu: 0.772 0.772 0.772
Ru: 0.500 0.500 0.500

## Q
A geometry-optimized LaLu2Ru structure, computed with GGA-PBE.

Summary:
**Volume**: 26.08 Å³/atom
**DOS(E_F)**: 2.9 states/eV/cell

Lattice parameters (Å, degrees): 3.398 3.398 9.033 90.00 90.00 90.00
Atoms (fractional coordinates):
La: 0.000 0.000 0.000
Lu: 0.500 0.500 0.324
Lu: 0.500 0.500 0.676
Ru: 0.000 0.000 0.500

In terms of stability, Q leads; the second structure lies 22.9 kJ/mol of atoms higher.

## P
A geometry-optimized LaLuRu structure, computed with GGA-PBE.

Summary:
**Volume**: 26.77 Å³/atom
**DOS(E_F)**: 2.0 states/eV/cell

Lattice parameters (Å, degrees): 4.843 4.843 4.843 60.00 60.00 60.00
Atoms (fractional coordinates):
La: 0.000 0.000 0.000
Lu: 0.500 0.500 0.500
Ru: 0.750 0.750 0.750

## Q
A geometry-optimized LaLuRu structure, computed with GGA-PBE.

Summary:
**Volume**: 26.02 Å³/atom
**DOS(E_F)**: 1.6 states/eV/cell

Lattice parameters (Å, degrees): 7.077 7.077 7.077 151.98 151.98 40.04
Atoms (fractional coordinates):
La: 0.000 0.000 0.000
Lu: 0.252 0.252 0.000
Ru: 0.637 0.637 0.000

In terms of stability, Q leads; the second structure lies 5.1 kJ/mol of atoms higher.

## P
A geometry-optimized LaSm2Lu structure, computed with GGA-PBE.

Summary:
**Volume**: 33.54 Å³/atom
**DOS(E_F)**: 6.9 states/eV/cell

Lattice parameters (Å, degrees): 3.619 3.619 10.245 90.00 90.00 90.00
Atoms (fractional coordinates):
La: 0.000 0.000 0.000
Sm: 0.500 0.500 0.259
Sm: 0.500 0.500 0.741
Lu: 0.000 0.000 0.500

## Q
A geometry-optimized LaSm2Lu structure, computed with GGA-PBE.

Summary:
**Volume**: 33.39 Å³/atom
**DOS(E_F)**: 6.2 states/eV/cell

Lattice parameters (Å, degrees): 5.089 5.089 5.156 90.00 90.00 90.00
Atoms (fractional coordinates):
La: 0.000 0.000 0.000
Sm: 0.000 0.500 0.500
Sm: 0.500 0.000 0.500
Lu: 0.500 0.500 0.000

## R
A geometry-optimized LaSm2Lu structure, computed with GGA-PBE.

Summary:
**Volume**: 33.96 Å³/atom
**DOS(E_F)**: 10.0 states/eV/cell

Lattice parameters (Å, degrees): 5.770 5.770 5.770 60.00 60.00 60.00
Atoms (fractional coordinates):
La: 0.000 0.000 0.000
Sm: 0.250 0.250 0.250
Sm: 0.750 0.750 0.750
Lu: 0.500 0.500 0.500

In terms of stability, Q leads; the second structure lies 0.8 kJ/mol of atoms higher.

## P
A geometry-optimized La2LuSn structure, computed with GGA-PBE.

Summary:
**Volume**: 30.18 Å³/atom
**DOS(E_F)**: 4.4 states/eV/cell

Lattice parameters (Å, degrees): 4.892 4.892 5.043 90.00 90.00 90.00
Atoms (fractional coordinates):
La: 0.000 0.500 0.000
La: 0.500 0.000 0.000
Lu: 0.000 0.000 0.500
Sn: 0.500 0.500 0.500

## Q
A geometry-optimized La2LuSn structure, computed with GGA-PBE.

Summary:
**Volume**: 31.86 Å³/atom
**DOS(E_F)**: 2.8 states/eV/cell

Lattice parameters (Å, degrees): 4.339 4.339 6.768 90.00 90.00 90.00
Atoms (fractional coordinates):
La: 0.000 0.000 0.231
La: 0.000 0.000 0.769
Lu: 0.500 0.500 0.500
Sn: 0.500 0.500 0.000

In terms of stability, P leads; the second structure lies 3.8 kJ/mol of atoms higher.

## P
A geometry-optimized LaLuTh structure, computed with GGA-PBE.

Summary:
**Volume**: 32.69 Å³/atom
**DOS(E_F)**: 6.0 states/eV/cell

Lattice parameters (Å, degrees): 5.729 5.729 3.451 90.00 90.00 120.00
Atoms (fractional coordinates):
La: 0.000 0.000 0.000
Lu: 0.667 0.333 0.500
Th: 0.333 0.667 0.000

## Q
A geometry-optimized LaLuTh structure, computed with GGA-PBE.

Summary:
**Volume**: 32.90 Å³/atom
**DOS(E_F)**: 4.8 states/eV/cell

Lattice parameters (Å, degrees): 7.983 7.983 7.983 153.85 153.85 37.32
Atoms (fractional coordinates):
La: 0.000 0.000 0.000
Lu: 0.682 0.682 0.000
Th: 0.336 0.336 0.000

In terms of stability, Q leads; the second structure lies 4.9 kJ/mol of atoms higher.

## P
A geometry-optimized La2LuTh structure, computed with GGA-PBE.

Summary:
**Volume**: 33.55 Å³/atom
**DOS(E_F)**: 6.0 states/eV/cell

Lattice parameters (Å, degrees): 5.099 5.099 5.161 90.00 90.00 90.00
Atoms (fractional coordinates):
La: 0.000 0.500 0.000
La: 0.500 0.000 0.000
Lu: 0.000 0.000 0.500
Th: 0.500 0.500 0.500

## Q
A geometry-optimized La2LuTh structure, computed with GGA-PBE.

Summary:
**Volume**: 34.11 Å³/atom
**DOS(E_F)**: 5.4 states/eV/cell

Lattice parameters (Å, degrees): 12.698 12.698 12.698 16.05 16.05 16.05
Atoms (fractional coordinates):
La: 0.090 0.090 0.090
La: 0.910 0.910 0.910
Lu: 0.000 0.000 0.000
Th: 0.500 0.500 0.500

In terms of stability, P leads; the second structure lies 10.9 kJ/mol of atoms higher.

## P
A geometry-optimized LaTmLu2 structure, computed with GGA-PBE.

Summary:
**Volume**: 31.21 Å³/atom
**DOS(E_F)**: 5.6 states/eV/cell

Lattice parameters (Å, degrees): 11.636 11.636 11.636 17.54 17.54 17.54
Atoms (fractional coordinates):
La: 0.000 0.000 0.000
Tm: 0.500 0.500 0.500
Lu: 0.248 0.248 0.248
Lu: 0.752 0.752 0.752

## Q
A geometry-optimized LaTmLu2 structure, computed with GGA-PBE.

Summary:
**Volume**: 31.82 Å³/atom
**DOS(E_F)**: 4.7 states/eV/cell

Lattice parameters (Å, degrees): 5.646 5.646 5.646 60.00 60.00 60.00
Atoms (fractional coordinates):
La: 0.000 0.000 0.000
Tm: 0.500 0.500 0.500
Lu: 0.250 0.250 0.250
Lu: 0.750 0.750 0.750

In terms of stability, P leads; the second structure lies 5.2 kJ/mol of atoms higher.

## P
A geometry-optimized LaTmLu2 structure, computed with GGA-PBE.

Summary:
**Volume**: 31.59 Å³/atom
**DOS(E_F)**: 7.4 states/eV/cell

Lattice parameters (Å, degrees): 5.040 5.040 4.974 90.00 90.00 90.00
Atoms (fractional coordinates):
La: 0.000 0.000 0.000
Tm: 0.500 0.500 0.000
Lu: 0.000 0.500 0.500
Lu: 0.500 0.000 0.500

## Q
A geometry-optimized LaTmLu2 structure, computed with GGA-PBE.

Summary:
**Volume**: 31.99 Å³/atom
**DOS(E_F)**: 5.7 states/eV/cell

Lattice parameters (Å, degrees): 4.020 4.020 7.920 90.00 90.00 90.00
Atoms (fractional coordinates):
La: 0.000 0.000 0.000
Tm: 0.000 0.000 0.500
Lu: 0.500 0.500 0.268
Lu: 0.500 0.500 0.732

In terms of stability, P leads; the second structure lies 3.7 kJ/mol of atoms higher.

## P
A geometry-optimized La2TmLu structure, computed with GGA-PBE.

Summary:
**Volume**: 33.72 Å³/atom
**DOS(E_F)**: 6.5 states/eV/cell

Lattice parameters (Å, degrees): 5.756 5.756 5.756 60.00 60.00 60.00
Atoms (fractional coordinates):
La: 0.250 0.250 0.250
La: 0.750 0.750 0.750
Tm: 0.000 0.000 0.000
Lu: 0.500 0.500 0.500

## Q
A geometry-optimized La2TmLu structure, computed with GGA-PBE.

Summary:
**Volume**: 33.24 Å³/atom
**DOS(E_F)**: 5.7 states/eV/cell

Lattice parameters (Å, degrees): 5.262 5.262 4.802 90.00 90.00 90.00
Atoms (fractional coordinates):
La: 0.000 0.500 0.000
La: 0.500 0.000 0.000
Tm: 0.000 0.000 0.500
Lu: 0.500 0.500 0.500

In terms of stability, Q leads; the second structure lies 3.5 kJ/mol of atoms higher.

## P
A geometry-optimized LaYLu structure, computed with GGA-PBE.

Summary:
**Volume**: 32.96 Å³/atom
**DOS(E_F)**: 4.8 states/eV/cell

Lattice parameters (Å, degrees): 8.031 8.031 8.031 154.07 154.07 37.00
Atoms (fractional coordinates):
La: 0.000 0.000 0.000
Y: 0.673 0.673 0.000
Lu: 0.333 0.333 0.000

## Q
A geometry-optimized LaYLu structure, computed with GGA-PBE.

Summary:
**Volume**: 32.58 Å³/atom
**DOS(E_F)**: 5.1 states/eV/cell

Lattice parameters (Å, degrees): 5.683 5.683 3.494 90.00 90.00 120.00
Atoms (fractional coordinates):
La: 0.000 0.000 0.000
Y: 0.667 0.333 0.500
Lu: 0.333 0.667 0.000

In terms of stability, P leads; the second structure lies 4.2 kJ/mol of atoms higher.